(1)
KLa2Ga2 after structural relaxation. Source: Alexandria, functional PBE.

Results
**Polymorph energy (0 for the lowest one)**: 0 meV/atom
**Space-group type**: No. 127
**Formation energy**: -0.237 eV per atom

Unit cell a=9.118 b=9.118 c=3.656 alpha=90.00 beta=90.00 gamma=90.00
Sites, in units of the cell vectors:
La: 0.830 0.330 0.500
La: 0.670 0.830 0.500
La: 0.170 0.670 0.500
La: 0.330 0.170 0.500
Ga: 0.117 0.383 0.000
Ga: 0.383 0.883 0.000
Ga: 0.617 0.117 0.000
Ga: 0.883 0.617 0.000
K: 0.000 0.000 0.000
K: 0.500 0.500 0.000

(2)
KLa2Ga2 after structural relaxation. Source: Alexandria, functional PBE.

Results
**Polymorph energy (0 for the lowest one)**: 65 meV/atom
**Space-group type**: No. 127
**Formation energy**: -0.173 eV per atom

Unit cell a=9.988 b=9.988 c=3.570 alpha=90.00 beta=90.00 gamma=90.00
Sites, in units of the cell vectors:
La: 0.127 0.373 0.000
La: 0.627 0.127 0.000
La: 0.373 0.873 0.000
La: 0.873 0.627 0.000
Ga: 0.831 0.331 0.500
Ga: 0.169 0.669 0.500
Ga: 0.331 0.169 0.500
Ga: 0.669 0.831 0.500
K: 0.500 0.500 0.000
K: 0.000 0.000 0.000

(3)
K2LaGa after structural relaxation. Source: Alexandria, functional PBE.

Results
**Space-group type**: No. 122
**Formation energy**: 0.345 eV per atom

Unit cell a=11.349 b=11.349 c=8.568 alpha=48.52 beta=48.52 gamma=90.00
Sites, in units of the cell vectors:
La: 0.000 0.000 0.000
La: 0.750 0.250 0.500
K: 0.525 0.125 0.250
K: 0.875 0.775 0.750
K: 0.375 0.475 0.750
K: 0.225 0.625 0.250
Ga: 0.250 0.750 0.500
Ga: 0.500 0.500 0.000

Number 1: DOS(E_F) 13.51 states/eV/cell, density 4.99 g cm⁻³, volume 304 Å³ per cell. Number 2: DOS(E_F) 9.78 states/eV/cell, density 4.26 g cm⁻³, volume 356 Å³ per cell. Number 3: DOS(E_F) 7.40 states/eV/cell, density 2.46 g cm⁻³, volume 386 Å³ per cell.